Model one:
First-principles (PBE) data for a relaxed structure of BaMg14Ni, as listed in the Alexandria database.

Cell and atoms, written as extended XYZ:
```
16
Lattice="10.445 0.000 0.000 0.000 3.109 5.924 0.000 -3.109 5.924" Properties=species:S:1:pos:R:3 pbc="T T T"
Ba 0.000 0.000 0.000
Mg 0.000 -1.491 2.989
Mg 0.000 1.491 2.989
Mg 2.130 0.000 7.226
Mg 2.664 -1.520 4.471
Mg 2.664 1.520 4.471
Mg 2.855 0.000 1.654
Mg 5.222 0.000 5.636
Mg 5.222 -1.511 8.572
Mg 5.222 1.511 8.572
Mg 5.222 0.000 11.459
Mg 7.590 0.000 1.654
Mg 7.780 -1.520 4.471
Mg 7.780 1.520 4.471
Mg 8.315 0.000 7.226
Ni 0.000 0.000 5.204
```

The calculation puts the density of states at the Fermi level at 0.43 states/eV/atom.

Model two:
First-principles (PBE) data for a relaxed structure of BaMg14Ni, as listed in the Alexandria database.

Cell and atoms, written as extended XYZ:
```
16
Lattice="6.500 0.000 0.000 -3.250 5.629 0.000 0.000 0.000 10.463" Properties=species:S:1:pos:R:3 pbc="T T T"
Ba 0.000 0.000 0.000
Mg -1.550 2.858 0.000
Mg 0.000 1.822 2.947
Mg 0.000 1.822 7.515
Mg -1.672 4.718 2.947
Mg -1.672 4.718 7.515
Mg 1.550 2.858 0.000
Mg 0.000 5.543 0.000
Mg 3.250 0.087 5.231
Mg 1.700 2.771 5.231
Mg 3.250 1.876 2.486
Mg 3.250 1.876 7.976
Mg 1.672 4.718 2.947
Mg 1.672 4.718 7.515
Mg 4.800 2.771 5.231
Ni 0.000 0.000 5.231
```

The calculation puts the density of states at the Fermi level at 0.53 states/eV/atom.

model one wins, 2.6 kJ/mol of atoms ahead of the next structure.

Model one:
First-principles (PBE) data for a relaxed structure of BaMg4Ni, as listed in the Alexandria database.

Cell and atoms, written as extended XYZ:
```
6
Lattice="4.935 0.000 0.000 0.000 4.935 0.000 0.000 0.000 7.655" Properties=species:S:1:pos:R:3 pbc="T T T"
Ba 0.000 0.000 0.000
Mg 0.000 2.468 3.827
Mg 2.468 0.000 3.827
Mg 2.468 2.468 1.462
Mg 2.468 2.468 6.193
Ni 2.468 2.468 3.827
```

The calculation puts the density of states at the Fermi level at 0.29 states/eV/atom.

Model two:
First-principles (PBE) data for a relaxed structure of BaMg4Ni, as listed in the Alexandria database.

Cell and atoms, written as extended XYZ:
```
6
Lattice="0.000 4.224 4.224 4.224 0.000 4.224 4.224 4.224 0.000" Properties=species:S:1:pos:R:3 pbc="T T T"
Ba 0.000 0.000 0.000
Mg 5.263 3.184 3.184
Mg 3.184 5.263 3.184
Mg 3.184 3.184 5.263
Mg 5.263 5.263 5.263
Ni 2.112 2.112 2.112
```

The calculation puts the density of states at the Fermi level at 0.24 states/eV/atom.

model one wins, 17.8 kJ/mol of atoms ahead of the next structure.